Record 1
The following is a GGA-PBE calculation of an optimized crystal structure of Na2Mg2Ga2IrPt, from OQMD via LeMat-Bulk.

## Properties
- total energy (eV for the cell shown) = -29.055
- crystal system = tetragonal

a b c (Å): 4.560 4.560 6.460
angles (deg): 90.00 90.00 90.00
Space group P-4m2 (No. 115)
Asymmetric unit:
Na (0.000, 0.000, 0.000)
Na (0.500, 0.500, 0.500)
Mg (0.000, 0.500, 0.249)
Ga (0.000, 0.500, 0.761)
Ir (0.500, 0.500, 0.000)
Pt (0.000, 0.000, 0.500)



Record 2
The following is a GGA-PBE calculation of an optimized crystal structure of AlAg5, from OQMD via LeMat-Bulk.

## Properties
- total energy (eV for the cell shown) = -16.442
- crystal system = hexagonal

a b c (Å): 5.3582 5.3582 4.7320
angles (deg): 90.00 90.00 120.00
Space group P6/mmm (No. 191)
Asymmetric unit:
Al (0.0000, 0.0000, 0.0000)
Ag (0.0000, 0.5000, 0.5000)
Ag (0.3333, 0.6667, 0.0000)



Record 3
The following is a GGA-PBE calculation of an optimized crystal structure of GdGeSO, from OQMD via LeMat-Bulk.

## Properties
- crystal system = orthorhombic
- distance to the lowest polymorph of the same formula (meV/atom) = 26

a b c (Å): 6.472 13.333 7.581
angles (deg): 90.00 90.00 90.00
Space group Pbca (No. 61)
Asymmetric unit:
Gd (0.178, 0.228, 0.121)
Ge (0.219, 0.514, 0.518)
S (0.006, 0.074, 0.330)
O (0.156, 0.735, 0.865)



Record 4
The following is a GGA-PBE calculation of an optimized crystal structure of CdTePtO, from OQMD via LeMat-Bulk.

## Properties
- crystal system = orthorhombic
- distance to the lowest polymorph of the same formula (meV/atom) = 187

a b c (Å): 6.519 10.973 9.030
angles (deg): 90.00 90.00 90.00
Space group Pbca (No. 61)
Asymmetric unit:
Cd (0.247, 0.131, 0.014)
Te (0.002, 0.058, 0.748)
Pt (0.000, 0.192, 0.251)
O (0.250, 0.189, 0.387)



Record 5
The following is a GGA-PBE calculation of an optimized crystal structure of Sr2NbIrN2O4, from OQMD via LeMat-Bulk.

## Properties
- crystal system = triclinic
- distance to the lowest polymorph of the same formula (meV/atom) = 5

a b c (Å): 5.662 5.672 7.949
angles (deg): 90.01 90.38 90.08
Space group P1 (No. 1)
Asymmetric unit:
Sr (0.000, 0.000, 0.000)
Sr (0.006, 0.998, 0.502)
Sr (0.517, 0.515, 0.001)
Sr (0.534, 0.507, 0.501)
Nb (0.023, 0.510, 0.249)
Nb (0.505, 0.019, 0.756)
Ir (0.026, 0.495, 0.764)
Ir (0.500, 0.996, 0.242)
N (0.019, 0.479, 0.002)
N (0.251, 0.766, 0.241)
N (0.279, 0.274, 0.741)
N (0.511, 0.035, 0.007)
O (0.003, 0.537, 0.508)
O (0.245, 0.769, 0.770)
O (0.275, 0.258, 0.278)
O (0.520, 0.966, 0.502)
O (0.736, 0.730, 0.239)
O (0.746, 0.730, 0.770)
O (0.776, 0.231, 0.273)
O (0.796, 0.227, 0.736)



Record 6
The following is a GGA-PBE calculation of an optimized crystal structure of Zn2GaCu, from OQMD via LeMat-Bulk.

## Properties
- total energy (eV for the cell shown) = -35.945
- crystal system = cubic

a b c (Å): 6.159 6.159 6.159
angles (deg): 90.00 90.00 90.00
Space group F-43m (No. 216)
Asymmetric unit:
Zn (0.000, 0.000, 0.000)
Zn (0.250, 0.250, 0.250)
Ga (0.000, 0.000, 0.500)
Cu (0.250, 0.250, 0.750)



Record 7
The following is a GGA-PBE calculation of an optimized crystal structure of ScCo2Ir, from OQMD via LeMat-Bulk.

## Properties
- energy of formation (kcal/mol of atoms) = -3.93
- crystal system = cubic

a b c (Å): 6.094 6.094 6.094
angles (deg): 90.00 90.00 90.00
Space group F-43m (No. 216)
Asymmetric unit:
Sc (0.000, 0.000, 0.000)
Co (0.000, 0.000, 0.500)
Co (0.250, 0.250, 0.750)
Ir (0.250, 0.250, 0.250)



Record 8
The following is a GGA-PBE calculation of an optimized crystal structure of Nb2PbO6, from OQMD via LeMat-Bulk.

## Properties
- crystal system = trigonal
- distance to the lowest polymorph of the same formula (meV/atom) = 17

a b c (Å): 5.3499 5.3499 5.2300
angles (deg): 90.00 90.00 120.00
Space group P-31m (No. 162)
Asymmetric unit:
Nb (0.3333, 0.6667, 0.0000)
Pb (0.0000, 0.0000, 0.5000)
O (0.0000, 0.3814, 0.7861)



Record 9
The following is a GGA-PBE calculation of an optimized crystal structure of PrPaAsO, from OQMD via LeMat-Bulk.

## Properties
- crystal system = tetragonal
- distance to the lowest polymorph of the same formula (meV/atom) = 0

a b c (Å): 4.275 4.275 9.705
angles (deg): 90.00 90.00 90.00
Space group P4/nmm (No. 129, origin choice 2)
Asymmetric unit:
Pr (0.250, 0.250, 0.113)
Pa (0.250, 0.750, 0.500)
As (0.250, 0.250, 0.715)
O (0.250, 0.750, 0.000)



Record 10
The following is a GGA-PBE calculation of an optimized crystal structure of TbTm2S3, from OQMD via LeMat-Bulk.

## Properties
- total energy (eV for the cell shown) = -37.700
- crystal system = trigonal

a b c (Å): 3.8608 3.8608 9.4850
angles (deg): 90.00 90.00 120.00
Space group P-3m1 (No. 164)
Asymmetric unit:
Tb (0.0000, 0.0000, 0.0000)
Tm (0.3333, 0.6667, 0.6655)
S (0.0000, 0.0000, 0.5000)
S (0.3333, 0.6667, 0.1735)



Record 11
The following is a GGA-PBE calculation of an optimized crystal structure of Li4AlAg2Ge, from OQMD via LeMat-Bulk.

## Properties
- total energy (eV for the cell shown) = -23.933
- crystal system = tetragonal

a b c (Å): 4.433 4.433 6.265
angles (deg): 90.00 90.00 90.00
Space group P-4m2 (No. 115)
Asymmetric unit:
Li (0.000, 0.000, 0.000)
Li (0.000, 0.500, 0.242)
Li (0.500, 0.500, 0.500)
Al (0.000, 0.000, 0.500)
Ag (0.000, 0.500, 0.745)
Ge (0.500, 0.500, 0.000)



Record 12
The following is a GGA-PBE calculation of an optimized crystal structure of TbSi2PdAu, from OQMD via LeMat-Bulk.

## Properties
- total energy (eV for the cell shown) = -55.583
- crystal system = tetragonal

a b c (Å): 4.183 4.183 10.200
angles (deg): 90.00 90.00 90.00
Space group I-4m2 (No. 119)
Asymmetric unit:
Tb (0.000, 0.000, 0.000)
Si (0.000, 0.000, 0.387)
Pd (0.000, 0.500, 0.250)
Au (0.000, 0.500, 0.750)



Record 13
The following is a GGA-PBE calculation of an optimized crystal structure of TaNiBiOs, from OQMD via LeMat-Bulk.

## Properties
- total energy (eV for the cell shown) = -121.837
- crystal system = cubic

a b c (Å): 6.488 6.488 6.488
angles (deg): 90.00 90.00 90.00
Space group F-43m (No. 216)
Asymmetric unit:
Ta (0.000, 0.000, 0.000)
Ni (0.000, 0.000, 0.500)
Bi (0.250, 0.250, 0.250)
Os (0.250, 0.250, 0.750)



Record 14
The following is a GGA-PBE calculation of an optimized crystal structure of Ac, from OQMD via LeMat-Bulk.

## Properties
- energy of formation (kcal/mol of atoms) = 19.11
- crystal system = hexagonal
- distance to the lowest polymorph of the same formula (meV/atom) = 829

a b c (Å): 6.1238 6.1238 6.3866
angles (deg): 90.00 90.00 120.00
Space group P6_3/mmc (No. 194)
Asymmetric unit:
Ac (0.0000, 0.0000, 0.2500)
Ac (0.3333, 0.6667, 0.2500)



Record 15
The following is a GGA-PBE calculation of an optimized crystal structure of ZrBr2Cl, from OQMD via LeMat-Bulk.

## Properties
- total energy (eV for the cell shown) = -78.790
- crystal system = orthorhombic

a b c (Å): 6.200 7.043 12.037
angles (deg): 90.00 90.00 90.00
Space group Ama2 (No. 40)
Asymmetric unit:
Zr (0.000, 0.000, 0.000)
Br (0.250, 0.161, 0.841)
Br (0.250, 0.184, 0.505)
Cl (0.250, 0.141, 0.149)



Record 16
The following is a GGA-PBE calculation of an optimized crystal structure of ZrInNiAg, from OQMD via LeMat-Bulk.

## Properties
- crystal system = cubic
- distance to the lowest polymorph of the same formula (meV/atom) = 152

a b c (Å): 6.582 6.582 6.582
angles (deg): 90.00 90.00 90.00
Space group F-43m (No. 216)
Asymmetric unit:
Zr (0.000, 0.000, 0.000)
In (0.250, 0.250, 0.750)
Ni (0.250, 0.250, 0.250)
Ag (0.000, 0.000, 0.500)



Record 17
The following is a GGA-PBE calculation of an optimized crystal structure of SmCd20Pd2, from OQMD via LeMat-Bulk.

## Properties
- energy of formation (kcal/mol of atoms) = -4.50
- crystal system = cubic

a b c (Å): 15.716 15.716 15.716
angles (deg): 90.00 90.00 90.00
Space group Fd-3m (No. 227, origin choice 2)
Asymmetric unit:
Sm (0.125, 0.125, 0.125)
Cd (0.000, 0.000, 0.000)
Cd (0.013, 0.375, 0.875)
Cd (0.060, 0.060, 0.322)
Pd (0.000, 0.000, 0.500)



Record 18
The following is a GGA-PBE calculation of an optimized crystal structure of ZrP2Cl2O6, from OQMD via LeMat-Bulk.

## Properties
- total energy (eV for the cell shown) = -75.683
- crystal system = trigonal

a b c (Å): 5.7655 5.7655 5.0811
angles (deg): 90.00 90.00 120.00
Space group P-3m1 (No. 164)
Asymmetric unit:
Zr (0.0000, 0.0000, 0.0000)
P (0.3333, 0.6667, 0.2786)
Cl (0.3333, 0.6667, 0.6646)
O (0.1852, 0.3704, 0.2005)



Record 19
The following is a GGA-PBE calculation of an optimized crystal structure of NbAlCuAg, from OQMD via LeMat-Bulk.

## Properties
- crystal system = cubic
- distance to the lowest polymorph of the same formula (meV/atom) = 0

a b c (Å): 6.332 6.332 6.332
angles (deg): 90.00 90.00 90.00
Space group F-43m (No. 216)
Asymmetric unit:
Nb (0.000, 0.000, 0.000)
Al (0.000, 0.000, 0.500)
Cu (0.250, 0.250, 0.750)
Ag (0.250, 0.250, 0.250)



Record 20
The following is a GGA-PBE calculation of an optimized crystal structure of TaCuBOs, from OQMD via LeMat-Bulk.

## Properties
- crystal system = cubic
- distance to the lowest polymorph of the same formula (meV/atom) = 0

a b c (Å): 5.962 5.962 5.962
angles (deg): 90.00 90.00 90.00
Space group F-43m (No. 216)
Asymmetric unit:
Ta (0.000, 0.000, 0.000)
Cu (0.250, 0.250, 0.750)
B (0.000, 0.000, 0.500)
Os (0.250, 0.250, 0.250)



Record 21
The following is a GGA-PBE calculation of an optimized crystal structure of InFeReTc, from OQMD via LeMat-Bulk.

## Properties
- crystal system = cubic
- distance to the lowest polymorph of the same formula (meV/atom) = 0

a b c (Å): 6.247 6.247 6.247
angles (deg): 90.00 90.00 90.00
Space group F-43m (No. 216)
Asymmetric unit:
In (0.000, 0.000, 0.000)
Fe (0.250, 0.250, 0.250)
Re (0.000, 0.000, 0.500)
Tc (0.250, 0.250, 0.750)



Record 22
The following is a GGA-PBE calculation of an optimized crystal structure of ScRePd2, from OQMD via LeMat-Bulk.

## Properties
- energy of formation (kcal/mol of atoms) = 0.11
- crystal system = cubic

a b c (Å): 6.357 6.357 6.357
angles (deg): 90.00 90.00 90.00
Space group F-43m (No. 216)
Asymmetric unit:
Sc (0.000, 0.000, 0.000)
Re (0.250, 0.250, 0.750)
Pd (0.000, 0.000, 0.500)
Pd (0.250, 0.250, 0.250)